Entry 1:
A relaxed Pr11Dy9Ho4 crystal. Source: Alexandria via LeMat-Bulk, functional GGA-PBE.

Lattice parameters (Å, degrees): 15.515 15.515 3.677 90.00 90.00 113.15
Fractional positions:
Pr 0.000 0.000 0.000
Pr 0.043 0.405 0.000
Pr 0.160 0.840 0.000
Pr 0.293 0.293 0.000
Pr 0.369 0.631 0.000
Pr 0.405 0.043 0.000
Pr 0.595 0.957 0.000
Pr 0.631 0.369 0.000
Pr 0.707 0.707 0.000
Pr 0.840 0.160 0.000
Pr 0.957 0.595 0.000
Dy 0.068 0.214 0.500
Dy 0.166 0.630 0.500
Dy 0.214 0.068 0.500
Dy 0.370 0.834 0.500
Dy 0.500 0.500 0.500
Dy 0.630 0.166 0.500
Dy 0.786 0.932 0.500
Dy 0.834 0.370 0.500
Dy 0.932 0.786 0.500
Ho 0.241 0.445 0.500
Ho 0.445 0.241 0.500
Ho 0.555 0.759 0.500
Ho 0.759 0.555 0.500

***

Entry 2:
A relaxed Pr2DyHo2 crystal. Source: Alexandria via LeMat-Bulk, functional GGA-PBE.

Output
* E above lowest polymorph: 6.034 kcal/mol of atoms

Lattice parameters (Å, degrees): 8.842 8.842 6.272 90.00 90.00 134.07
Fractional positions:
Pr 0.100 0.900 0.750
Pr 0.330 0.670 0.250
Pr 0.670 0.330 0.750
Pr 0.900 0.100 0.250
Dy 0.500 0.500 0.000
Dy 0.500 0.500 0.500
Ho 0.091 0.431 0.750
Ho 0.431 0.091 0.250
Ho 0.569 0.909 0.750
Ho 0.909 0.569 0.250

***

| no. | ΔH_f (0 K) (eV/f.u.) | total energy (eV/atom) |
| --- | --- | --- |
| 1 | 1.4 | -4.623 |
| 2 | 1.4 | -4.375 |